<P>
Material: FeSi2HgOs
Method: DFT, PBE
State: optimized geometry

a b c (Å): 4.542 5.378 4.542
angles (deg): 90.00 90.00 90.00
Sites, in units of the cell vectors:
1 Si 0.000 0.000 0.500
2 Si 0.500 0.000 0.000
3 Os 0.000 0.000 0.000
4 Fe 0.500 0.500 0.500
5 Hg 0.000 0.500 0.000

Calculated values
* total moment: 0.6979 μB per atom
* DOS at the Fermi energy: 4.39 states/eV/f.u.

=====

<Q>
Material: FeSi2HgOs
Method: DFT, PBE
State: optimized geometry

a b c (Å): 4.754 4.802 4.754
angles (deg): 90.00 90.00 90.00
Sites, in units of the cell vectors:
1 Si 0.000 0.000 0.500
2 Si 0.500 0.000 0.000
3 Hg 0.000 0.000 0.000
4 Fe 0.000 0.500 0.000
5 Os 0.500 0.500 0.500

Calculated values
* total moment: 0.9842 μB per atom
* DOS at the Fermi energy: 5.89 states/eV/f.u.

=====

<P> comes first in stability; the runner-up is 128.6 kJ/mol of atoms higher.

=====

<P>
Material: FeHgP
Method: DFT, PBE
State: optimized geometry

a b c (Å): 4.225 4.225 4.225
angles (deg): 60.00 60.00 60.00
Sites, in units of the cell vectors:
1 P 0.500 0.500 0.500
2 Fe 0.750 0.750 0.750
3 Hg 0.000 0.000 0.000

Calculated values
* total moment: 0.8065 μB per atom
* DOS at the Fermi energy: 4.49 states/eV/f.u.

=====

<Q>
Material: FeHgP
Method: DFT, PBE
State: optimized geometry

a b c (Å): 3.029 3.029 6.313
angles (deg): 90.00 90.00 120.00
Sites, in units of the cell vectors:
1 P 0.333 0.667 0.741
2 Fe 0.000 0.000 0.953
3 Hg 0.667 0.333 0.305

Calculated values
* total moment: 0.3280 μB per atom
* DOS at the Fermi energy: 2.29 states/eV/f.u.

=====

<R>
Material: FeHgP
Method: DFT, PBE
State: optimized geometry

a b c (Å): 6.222 6.222 6.222
angles (deg): 153.40 153.40 37.97
Sites, in units of the cell vectors:
1 P 0.619 0.619 0.000
2 Fe 0.030 0.030 0.000
3 Hg 0.351 0.351 0.000

Calculated values
* total moment: 0.0456 μB per atom
* DOS at the Fermi energy: 2.72 states/eV/f.u.

=====

<Q> comes first in stability; the runner-up is 2.7 kJ/mol of atoms higher.

=====

<P>
Material: FeHgPb
Method: DFT, PBE
State: optimized geometry

a b c (Å): 4.624 4.624 4.624
angles (deg): 60.00 60.00 60.00
Sites, in units of the cell vectors:
1 Fe 0.750 0.750 0.750
2 Hg 0.000 0.000 0.000
3 Pb 0.500 0.500 0.500

Calculated values
* total moment: 0.8866 μB per atom
* DOS at the Fermi energy: 4.09 states/eV/f.u.

=====

<Q>
Material: FeHgPb
Method: DFT, PBE
State: optimized geometry

a b c (Å): 4.678 4.678 3.600
angles (deg): 90.00 90.00 120.00
Sites, in units of the cell vectors:
1 Fe 0.000 0.000 0.163
2 Hg 0.667 0.333 0.169
3 Pb 0.333 0.667 0.668

Calculated values
* total moment: 0.9635 μB per atom
* DOS at the Fermi energy: 3.60 states/eV/f.u.

=====

<P> comes first in stability; the runner-up is 9.1 kJ/mol of atoms higher.